(1)
{"formula": "BeFe2OsI", "functional": "GGA-PBE", "state": "optimized geometry", "crystal_system": "tetragonal", "lattice": [[4.596, 0.000, 0.000], [0.000, 4.596, 0.000], [0.000, 0.000, 4.341]], "species": ["Be", "Fe", "Fe", "Os", "I"], "fractional_positions": [[0.000, 0.000, 0.000], [0.000, 0.500, 0.500], [0.500, 0.000, 0.500], [0.500, 0.500, 0.000], [0.000, 0.000, 0.500]]}


(2)
{"formula": "BeFeSbI2", "functional": "GGA-PBE", "state": "optimized geometry", "polymorph_energy_ev_per_atom": 0.000, "crystal_system": "tetragonal", "lattice": [[5.512, 0.000, 0.000], [0.000, 5.512, 0.000], [0.000, 0.000, 4.912]], "species": ["Be", "Fe", "Sb", "I", "I"], "fractional_positions": [[0.000, 0.000, 0.000], [0.500, 0.500, 0.500], [0.500, 0.500, 0.000], [0.000, 0.500, 0.500], [0.500, 0.000, 0.500]]}


(3)
{"formula": "BeFeSbI2", "functional": "GGA-PBE", "state": "optimized geometry", "polymorph_energy_ev_per_atom": 0.006, "crystal_system": "tetragonal", "lattice": [[5.080, 0.000, 0.000], [0.000, 5.080, 0.000], [0.000, 0.000, 4.862]], "species": ["Be", "Fe", "Sb", "I", "I"], "fractional_positions": [[0.000, 0.000, 0.000], [0.500, 0.500, 0.500], [0.000, 0.000, 0.500], [0.000, 0.500, 0.000], [0.500, 0.000, 0.000]]}


(4)
{"formula": "BeFeTeI2", "functional": "GGA-PBE", "state": "optimized geometry", "polymorph_energy_ev_per_atom": 0.000, "crystal_system": "tetragonal", "lattice": [[5.164, 0.000, 0.000], [0.000, 5.164, 0.000], [0.000, 0.000, 5.194]], "species": ["Be", "Fe", "Te", "I", "I"], "fractional_positions": [[0.000, 0.000, 0.000], [0.500, 0.500, 0.500], [0.000, 0.000, 0.500], [0.000, 0.500, 0.000], [0.500, 0.000, 0.000]]}


(5)
{"formula": "BeFeTeI2", "functional": "GGA-PBE", "state": "optimized geometry", "polymorph_energy_ev_per_atom": 0.108, "crystal_system": "tetragonal", "lattice": [[5.449, 0.000, 0.000], [0.000, 5.449, 0.000], [0.000, 0.000, 4.785]], "species": ["Be", "Fe", "Te", "I", "I"], "fractional_positions": [[0.000, 0.000, 0.000], [0.500, 0.500, 0.500], [0.500, 0.500, 0.000], [0.000, 0.500, 0.500], [0.500, 0.000, 0.500]]}


(6)
{"formula": "TiBe2FeI", "functional": "GGA-PBE", "state": "optimized geometry", "crystal_system": "tetragonal", "lattice": [[4.782, 0.000, 0.000], [0.000, 4.782, 0.000], [0.000, 0.000, 4.328]], "species": ["Ti", "Be", "Be", "Fe", "I"], "fractional_positions": [[0.000, 0.000, 0.000], [0.000, 0.500, 0.000], [0.500, 0.000, 0.000], [0.000, 0.000, 0.500], [0.500, 0.500, 0.500]]}


| no. | total DFT energy (no corrections) (eV/atom) | uncorrected formation energy (eV/atom) |
| --- | --- | --- |
| 1 | -4.48 | 2.21 |
| 2 | -3.00 | 0.88 |
| 3 | -2.99 | 0.89 |
| 4 | -2.95 | 0.74 |
| 5 | -2.84 | 0.84 |
| 6 | -3.64 | 1.43 |